This record from the Alexandria database describes KCdBi2 after structural relaxation. The functional is PBE.

E_form ... -0.38 eV per formula unit
VASP energy ... -2.538 eV per atom

a b c (Å): 4.179 4.179 7.630
angles (deg): 90.00 90.00 90.00
Atoms (fractional coordinates):
1 K 0.000 0.000 0.000
2 Cd 0.000 0.000 0.500
3 Bi 0.500 0.500 0.303
4 Bi 0.500 0.500 0.697

***

This record from the Alexandria database describes K3Cd6Bi5 after structural relaxation. The functional is PBE.

E_form ... -2.83 eV per formula unit
VASP energy ... -2.215 eV per atom

a b c (Å): 4.914 15.125 12.361
angles (deg): 90.00 90.00 90.00
Atoms (fractional coordinates):
1 K 0.250 0.079 0.246
2 K 0.250 0.421 0.246
3 K 0.250 0.750 0.245
4 K 0.750 0.250 0.755
5 K 0.750 0.579 0.754
6 K 0.750 0.921 0.754
7 Cd 0.250 0.066 0.617
8 Cd 0.250 0.250 0.009
9 Cd 0.250 0.250 0.468
10 Cd 0.250 0.434 0.617
11 Cd 0.250 0.593 0.993
12 Cd 0.250 0.907 0.993
13 Cd 0.750 0.093 0.007
14 Cd 0.750 0.407 0.007
15 Cd 0.750 0.566 0.383
16 Cd 0.750 0.750 0.532
17 Cd 0.750 0.750 0.991
18 Cd 0.750 0.934 0.383
19 Bi 0.250 0.082 0.861
20 Bi 0.250 0.418 0.861
21 Bi 0.250 0.619 0.516
22 Bi 0.250 0.750 0.839
23 Bi 0.250 0.881 0.516
24 Bi 0.750 0.119 0.484
25 Bi 0.750 0.250 0.161
26 Bi 0.750 0.381 0.484
27 Bi 0.750 0.582 0.139
28 Bi 0.750 0.918 0.139

***

This record from the Alexandria database describes K3Cd2Bi3 after structural relaxation. The functional is PBE.

E_form ... -1.72 eV per formula unit
VASP energy ... -2.311 eV per atom
Offset from the most stable computed form ... 113.0 meV/atom

a b c (Å): 6.651 6.651 16.904
angles (deg): 90.00 90.00 129.84
Atoms (fractional coordinates):
1 K 0.025 0.975 0.750
2 K 0.145 0.855 0.032
3 K 0.145 0.855 0.468
4 K 0.855 0.145 0.532
5 K 0.855 0.145 0.968
6 K 0.975 0.025 0.250
7 Cd 0.315 0.685 0.664
8 Cd 0.315 0.685 0.836
9 Cd 0.685 0.315 0.164
10 Cd 0.685 0.315 0.336
11 Bi 0.278 0.722 0.250
12 Bi 0.454 0.546 0.097
13 Bi 0.454 0.546 0.403
14 Bi 0.546 0.454 0.597
15 Bi 0.546 0.454 0.903
16 Bi 0.722 0.278 0.750

***

This record from the Alexandria database describes KCdBi2 after structural relaxation. The functional is PBE.

E_form ... -0.30 eV per formula unit
VASP energy ... -2.518 eV per atom

a b c (Å): 6.956 6.956 6.956
angles (deg): 46.55 46.55 46.55
Atoms (fractional coordinates):
1 K 0.000 0.000 0.000
2 Cd 0.500 0.500 0.500
3 Bi 0.196 0.196 0.196
4 Bi 0.804 0.804 0.804

***

This record from the Alexandria database describes KCd2Bi after structural relaxation. The functional is PBE.

E_form ... -0.09 eV per formula unit
VASP energy ... -1.726 eV per atom

a b c (Å): 4.192 4.192 7.198
angles (deg): 90.00 90.00 90.00
Atoms (fractional coordinates):
1 K 0.000 0.000 0.000
2 Cd 0.500 0.500 0.283
3 Cd 0.500 0.500 0.717
4 Bi 0.000 0.000 0.500

***

This record from the Alexandria database describes KCdBi2 after structural relaxation. The functional is PBE.

E_form ... -0.73 eV per formula unit
VASP energy ... -2.626 eV per atom

a b c (Å): 7.793 5.910 12.241
angles (deg): 90.00 90.00 90.00
Atoms (fractional coordinates):
1 K 0.235 0.250 0.157
2 K 0.265 0.750 0.657
3 K 0.735 0.250 0.343
4 K 0.765 0.750 0.843
5 Cd 0.018 0.750 0.374
6 Cd 0.482 0.250 0.874
7 Cd 0.518 0.750 0.126
8 Cd 0.982 0.250 0.626
9 Bi 0.096 0.250 0.870
10 Bi 0.238 0.750 0.949
11 Bi 0.262 0.250 0.449
12 Bi 0.404 0.750 0.370
13 Bi 0.596 0.250 0.630
14 Bi 0.738 0.750 0.551
15 Bi 0.762 0.250 0.051
16 Bi 0.904 0.750 0.130

***

This record from the Alexandria database describes KCd3Bi after structural relaxation. The functional is PBE.

E_form ... 0.92 eV per formula unit
VASP energy ... -1.362 eV per atom
Offset from the most stable computed form ... 0.0 meV/atom

a b c (Å): 5.966 5.966 5.966
angles (deg): 90.00 90.00 90.00
Atoms (fractional coordinates):
1 K 0.000 0.000 0.000
2 Cd 0.000 0.500 0.500
3 Cd 0.500 0.000 0.500
4 Cd 0.500 0.500 0.000
5 Bi 0.500 0.500 0.500

***

This record from the Alexandria database describes K3Cd2Bi3 after structural relaxation. The functional is PBE.

E_form ... -2.63 eV per formula unit
VASP energy ... -2.424 eV per atom
Offset from the most stable computed form ... 0.0 meV/atom

a b c (Å): 6.799 6.799 17.460
angles (deg): 90.00 90.00 134.11
Atoms (fractional coordinates):
1 K 0.084 0.916 0.619
2 K 0.084 0.916 0.881
3 K 0.378 0.622 0.750
4 K 0.622 0.378 0.250
5 K 0.916 0.084 0.119
6 K 0.916 0.084 0.381
7 Cd 0.211 0.789 0.100
8 Cd 0.211 0.789 0.400
9 Cd 0.789 0.211 0.600
10 Cd 0.789 0.211 0.900
11 Bi 0.321 0.679 0.250
12 Bi 0.380 0.620 0.529
13 Bi 0.380 0.620 0.971
14 Bi 0.620 0.380 0.029
15 Bi 0.620 0.380 0.471
16 Bi 0.679 0.321 0.750

***

This record from the Alexandria database describes K3Cd2Bi4 after structural relaxation. The functional is PBE.

E_form ... -2.51 eV per formula unit
VASP energy ... -2.573 eV per atom

a b c (Å): 7.011 7.011 9.641
angles (deg): 95.55 95.55 42.90
Atoms (fractional coordinates):
1 K 0.000 0.000 0.000
2 K 0.401 0.401 0.287
3 K 0.599 0.599 0.713
4 Cd 0.279 0.279 0.610
5 Cd 0.721 0.721 0.390
6 Bi 0.090 0.090 0.392
7 Bi 0.295 0.295 0.923
8 Bi 0.705 0.705 0.077
9 Bi 0.910 0.910 0.608

***

This record from the Alexandria database describes KCd4Bi2 after structural relaxation. The functional is PBE.

E_form ... -0.80 eV per formula unit
VASP energy ... -1.902 eV per atom
Offset from the most stable computed form ... 0.0 meV/atom

a b c (Å): 9.121 9.121 4.793
angles (deg): 90.00 90.00 147.40
Atoms (fractional coordinates):
1 K 0.000 0.000 0.000
2 Cd 0.189 0.811 0.500
3 Cd 0.298 0.702 0.000
4 Cd 0.702 0.298 0.000
5 Cd 0.811 0.189 0.500
6 Bi 0.407 0.593 0.500
7 Bi 0.593 0.407 0.500

***

This record from the Alexandria database describes KCd4Bi after structural relaxation. The functional is PBE.

E_form ... -0.24 eV per formula unit
VASP energy ... -1.480 eV per atom

a b c (Å): 6.162 6.162 6.162
angles (deg): 60.00 60.00 60.00
Atoms (fractional coordinates):
1 K 0.000 0.000 0.000
2 Cd 0.375 0.375 0.375
3 Cd 0.375 0.375 0.874
4 Cd 0.375 0.874 0.375
5 Cd 0.874 0.375 0.375
6 Bi 0.750 0.750 0.750

***

This record from the Alexandria database describes KCdBi2 after structural relaxation. The functional is PBE.

E_form ... -0.32 eV per formula unit
VASP energy ... -2.524 eV per atom

a b c (Å): 5.005 5.005 4.993
angles (deg): 90.00 90.00 90.00
Atoms (fractional coordinates):
1 K 0.000 0.000 0.000
2 Cd 0.500 0.500 0.000
3 Bi 0.000 0.500 0.500
4 Bi 0.500 0.000 0.500